a.
Entry from the Alexandria database: a relaxed structure of KInPt3 (GGA-PBE).

Geometry as POSCAR:
```
KInPt3
1.0
5.086 0.000 0.000
0.000 5.086 0.000
0.000 0.000 5.086
In Pt K
1 3 1
Cartesian
0.000 0.000 0.000 In
2.543 0.000 0.000 Pt
0.000 0.000 2.543 Pt
0.000 2.543 0.000 Pt
2.543 2.543 2.543 K
```

Computed properties:
Crystal system = cubic

b.
Entry from the Alexandria database: a relaxed structure of KInPt3 (GGA-PBE).

Geometry as POSCAR:
```
KInPt3
1.0
-1.855 -4.592 0.663
4.131 -1.309 2.489
-2.114 1.472 4.282
In Pt K
1 3 1
Cartesian
0.081 -2.214 3.717 In
-0.927 -2.296 0.332 Pt
2.065 -0.654 1.244 Pt
-1.057 0.736 2.141 Pt
0.000 0.000 0.000 K
```

Computed properties:
Crystal system = cubic

The structure with the greatest stability is a.

a.
Entry from the Alexandria database: a relaxed structure of K2In2Pt (GGA-PBE).

Geometry as POSCAR:
```
K2In2Pt
1.0
-2.124 -6.099 -3.138
-0.614 -3.103 6.446
-5.733 1.825 0.333
Pt In K
2 4 4
Cartesian
-1.369 -4.601 1.654 Pt
0.000 0.000 0.000 Pt
-0.540 -2.015 1.741 In
-1.486 -4.473 -1.058 In
-2.197 -7.188 1.567 In
-1.252 -4.730 4.366 In
-3.671 -2.312 3.991 K
-4.800 -5.065 -0.350 K
-3.654 -1.592 0.340 K
-4.817 -5.785 3.301 K
```

Computed properties:
Crystal system = tetragonal

b.
Entry from the Alexandria database: a relaxed structure of K2In2Pt (GGA-PBE).

Geometry as POSCAR:
```
K2In2Pt
1.0
-3.861 -1.317 2.243
0.192 -3.416 3.157
0.719 5.414 9.248
In K Pt
2 2 1
Cartesian
-1.865 1.765 12.322 In
-1.086 -1.084 2.326 In
-1.871 -1.086 5.805 K
-1.079 1.767 8.844 K
0.000 0.000 0.000 Pt
```

Computed properties:
Crystal system = trigonal

The structure with the greatest stability is b.

a.
Entry from the Alexandria database: a relaxed structure of KRbIn3 (GGA-PBE).

Geometry as POSCAR:
```
KRbIn3
1.0
-4.508 1.935 -3.970
-4.108 -3.919 2.755
-1.620 4.552 4.059
In Rb K
3 1 1
Cartesian
-2.054 -1.959 1.378 In
-2.254 0.968 -1.985 In
-0.810 2.276 2.030 In
-5.118 1.284 1.422 Rb
0.000 0.000 0.000 K
```

Computed properties:
Crystal system = cubic

b.
Entry from the Alexandria database: a relaxed structure of KRbIn3 (GGA-PBE).

Geometry as POSCAR:
```
KRbIn3
1.0
6.447 0.000 0.000
0.000 6.447 0.000
0.000 0.000 6.447
In K Rb
3 1 1
Cartesian
0.000 0.000 3.224 In
3.224 0.000 0.000 In
0.000 3.224 0.000 In
3.224 3.224 3.224 K
0.000 0.000 0.000 Rb
```

Computed properties:
Crystal system = cubic

The structure with the greatest stability is a.

a.
Entry from the Alexandria database: a relaxed structure of K3RbIn (GGA-PBE).

Geometry as POSCAR:
```
K3RbIn
1.0
-7.576 -1.084 -6.583
6.122 0.886 -9.213
-0.399 -11.087 0.264
Rb K In
4 12 4
Cartesian
-1.701 -3.858 -11.038 Rb
0.324 -0.139 -13.982 Rb
-0.152 -7.427 -4.493 Rb
-2.178 -11.146 -1.549 Rb
2.743 -3.359 -11.112 K
-3.206 -7.875 -11.447 K
3.118 -0.176 -6.834 K
-4.971 -11.109 -8.698 K
5.297 -6.532 -9.204 K
1.353 -3.410 -4.084 K
-2.752 -4.534 -6.915 K
0.899 -6.750 -8.617 K
-7.151 -4.753 -6.328 K
-4.597 -7.926 -4.419 K
-1.301 -0.427 -6.032 K
-0.552 -10.858 -9.500 K
3.320 -3.964 -7.331 In
0.681 -2.986 -7.912 In
-5.173 -7.321 -8.201 In
-2.534 -8.299 -7.620 In
```

Computed properties:
Crystal system = monoclinic

b.
Entry from the Alexandria database: a relaxed structure of K3RbIn (GGA-PBE).

Geometry as POSCAR:
```
K3RbIn
1.0
-1.760 -4.589 1.398
6.364 -4.152 -5.611
5.773 1.799 13.168
K In Rb
6 2 2
Cartesian
5.638 -3.250 1.102 K
8.769 -2.381 7.894 K
4.536 -3.560 8.032 K
7.023 -5.550 4.632 K
2.946 -1.125 4.684 K
4.661 -6.553 -1.630 K
7.029 -3.629 10.943 In
3.120 -3.164 -1.786 In
5.322 -0.160 10.842 Rb
1.304 -4.334 1.422 Rb
```

Computed properties:
Crystal system = orthorhombic

The structure with the greatest stability is a.

a.
Entry from the Alexandria database: a relaxed structure of K3RbIn (GGA-PBE).

Geometry as POSCAR:
```
K3RbIn
1.0
6.994 0.000 0.000
0.000 6.994 0.000
0.000 0.000 6.994
K Rb In
3 1 1
Cartesian
0.000 3.497 0.000 K
3.497 0.000 0.000 K
0.000 0.000 3.497 K
3.497 3.497 3.497 Rb
0.000 0.000 0.000 In
```

Computed properties:
Crystal system = cubic

b.
Entry from the Alexandria database: a relaxed structure of K3RbIn (GGA-PBE).

Geometry as POSCAR:
```
K3RbIn
1.0
7.365 0.000 0.000
0.000 7.365 0.000
0.000 0.000 7.365
In K Rb
1 3 1
Cartesian
3.682 3.682 3.682 In
3.682 0.000 0.000 K
0.000 3.682 0.000 K
0.000 0.000 3.682 K
0.000 0.000 0.000 Rb
```

Computed properties:
Crystal system = cubic

The structure with the greatest stability is a.

a.
Entry from the Alexandria database: a relaxed structure of K2RbZnIn (GGA-PBE).

Geometry as POSCAR:
```
K2RbZnIn
1.0
7.028 0.000 0.000
0.000 7.028 0.000
0.000 0.000 5.140
Zn In Rb K
1 1 1 2
Cartesian
0.000 0.000 2.570 Zn
0.000 0.000 0.000 In
3.514 3.514 2.570 Rb
0.000 3.514 0.000 K
3.514 0.000 0.000 K
```

Computed properties:
Crystal system = tetragonal

b.
Entry from the Alexandria database: a relaxed structure of K2RbZnIn (GGA-PBE).

Geometry as POSCAR:
```
K2RbZnIn
1.0
-4.016 3.275 4.192
-5.181 -3.601 -2.150
0.983 -3.706 3.836
K In Rb Zn
2 1 1 1
Cartesian
-2.008 1.637 2.096 K
-2.590 -1.800 -1.075 K
0.492 -1.853 1.918 In
-4.107 -2.016 2.939 Rb
0.000 0.000 0.000 Zn
```

Computed properties:
Crystal system = tetragonal

The structure with the greatest stability is b.

a.
Entry from the Alexandria database: a relaxed structure of KInRe3 (GGA-PBE).

Geometry as POSCAR:
```
KInRe3
1.0
-0.645 -1.512 4.717
1.753 -4.519 -1.209
4.633 1.499 1.115
Re K In
3 1 1
Cartesian
0.876 -2.259 -0.605 Re
-0.323 -0.756 2.359 Re
2.317 0.749 0.557 Re
2.870 -2.266 2.311 K
0.000 0.000 0.000 In
```

Computed properties:
Crystal system = cubic

b.
Entry from the Alexandria database: a relaxed structure of KInRe3 (GGA-PBE).

Geometry as POSCAR:
```
KInRe3
1.0
-3.415 2.742 1.451
-3.048 -2.562 -2.331
-0.579 -2.684 3.707
Re In K
3 1 1
Cartesian
-1.707 1.371 0.726 Re
-0.290 -1.342 1.854 Re
-1.524 -1.281 -1.165 Re
-3.521 -1.252 1.414 In
0.000 0.000 0.000 K
```

Computed properties:
Crystal system = cubic

The structure with the greatest stability is a.

a.
Entry from the Alexandria database: a relaxed structure of KIn3Re (GGA-PBE).

Geometry as POSCAR:
```
KIn3Re
1.0
-4.087 0.477 3.329
3.237 -0.859 4.098
0.910 5.201 0.371
In Re K
3 1 1
Cartesian
1.619 -0.430 2.049 In
-2.044 0.239 1.664 In
0.455 2.600 0.186 In
0.000 0.000 0.000 Re
0.030 2.409 3.899 K
```

Computed properties:
Crystal system = cubic

b.
Entry from the Alexandria database: a relaxed structure of KIn3Re (GGA-PBE).

Geometry as POSCAR:
```
KIn3Re
1.0
5.798 0.000 0.000
0.000 5.798 0.000
0.000 0.000 5.798
K In Re
1 3 1
Cartesian
0.000 0.000 0.000 K
0.000 0.000 2.899 In
2.899 0.000 0.000 In
0.000 2.899 0.000 In
2.899 2.899 2.899 Re
```

Computed properties:
Crystal system = cubic

The structure with the greatest stability is a.